Record 1
LiTaAl3 | PBE | optimized geometry

a b c (Å): 5.0834 5.0834 5.0834
angles (deg): 90.00 90.00 90.00
Last column: nearest neighbours and their distance in Å.
Element x y z (fractional)
Li: 0.0000 0.0000 0.0000  12 Al 3.59
Ta: 0.5000 0.5000 0.5000  6 Al 2.54
Al: 0.0000 0.5000 0.5000  2 Ta 2.54
Al: 0.5000 0.0000 0.5000  2 Ta 2.54
Al: 0.5000 0.5000 0.0000  2 Ta 2.54

Summary:
energy of formation = 0.663 eV/atom
total magnetization = 0.00 μB/f.u.
distance to the lowest polymorph of the same formula = 0.00 eV/f.u.
density = 3.398 g/cm3
SG = No. 221

=====

Record 2
La2HfGe3Ir4 | PBE | optimized geometry

a b c (Å): 4.2348 4.2348 10.9729
angles (deg): 90.00 90.00 90.00
Last column: nearest neighbours and their distance in Å.
Element x y z (fractional)
La: 0.0000 0.5000 0.2383  6 Ge 3.25-3.57, 8 Ir 3.25-3.36, 2 Hf 3.57
La: 0.5000 0.0000 0.7617  6 Ge 3.25-3.57, 8 Ir 3.25-3.36, 2 Hf 3.57
Hf: 0.0000 0.0000 0.5000  4 Ir 2.65
Ge: 0.0000 0.5000 0.8758  5 Ir 2.52
Ge: 0.5000 0.0000 0.1242  5 Ir 2.52
Ge: 0.5000 0.5000 0.5000  4 Ir 2.65
Ir: 0.0000 0.0000 0.0000  4 Ge 2.52
Ir: 0.0000 0.5000 0.6459  3 Ge 2.52-2.65, 2 Hf 2.65
Ir: 0.5000 0.0000 0.3541  3 Ge 2.52-2.65, 2 Hf 2.65
Ir: 0.5000 0.5000 0.0000  4 Ge 2.52

Summary:
energy of formation = -0.851 eV/atom
total magnetization = 0.00 μB/f.u.
density = 12.177 g/cm3
SG = No. 115

=====

Record 3
TbNd5Ho | PBE | optimized geometry

a b c (Å): 8.0789 8.0789 8.0789
angles (deg): 137.00 113.57 82.46
Last column: nearest neighbours and their distance in Å.
Element x y z (fractional)
Tb: 0.0000 0.0000 0.0000  6 Nd 3.06-3.35
Nd: 0.1772 0.5000 0.6772  1 Ho 2.86, 1 Nd 3.14
Nd: 0.2517 0.2517 0.0000  1 Ho 3.02, 1 Tb 3.06
Nd: 0.5000 0.0000 0.5000  2 Ho 2.96
Nd: 0.7483 0.7483 0.0000  1 Ho 3.02, 1 Tb 3.06
Nd: 0.8228 0.5000 0.3228  1 Ho 2.86, 1 Nd 3.14
Ho: 0.5000 0.5000 0.0000  6 Nd 2.86-3.02

Summary:
energy of formation = 0.982 eV/atom
total magnetization = 0.00 μB/f.u.
distance to the lowest polymorph of the same formula = 5.67 eV/f.u.
density = 5.450 g/cm3
SG = No. 71

=====

Record 4
ZrTa3C | PBE | optimized geometry

a b c (Å): 4.8828 4.8828 4.8828
angles (deg): 90.00 90.00 90.00
Last column: nearest neighbours and their distance in Å.
Element x y z (fractional)
Zr: 0.0000 0.0000 0.0000  6 Ta 2.44
Ta: 0.0000 0.0000 0.5000  2 Zr 2.44
Ta: 0.0000 0.5000 0.0000  2 Zr 2.44
Ta: 0.5000 0.0000 0.0000  2 Zr 2.44
C: 0.5000 0.5000 0.5000  12 Ta 3.45

Summary:
energy of formation = 3.244 eV/atom
total magnetization = 0.00 μB/f.u.
distance to the lowest polymorph of the same formula = 17.10 eV/f.u.
density = 9.216 g/cm3
SG = No. 221

=====

Record 5
BaZnSi2 | PBE | optimized geometry

a b c (Å): 4.3624 4.3624 6.4599
angles (deg): 110.00 110.00 58.06
Last column: nearest neighbours and their distance in Å.
Element x y z (fractional)
Ba: 0.0000 0.0000 0.0000  3 Zn 3.30-3.32, 4 Si 3.36-3.69
Zn: 0.2084 0.2084 0.6347  3 Si 2.57-2.58
Si: 0.4996 0.4996 0.5285  3 Zn 2.57-2.58, 3 Si 2.58-2.79
Si: 0.7970 0.7970 0.3791  3 Si 2.58-2.79

Summary:
total magnetization = 0.00 μB/f.u.
density = 4.478 g/cm3
SG = No. 8
raw formation energy = -0.4 eV/f.u.

=====

Record 6
PmMnAlGe2 | PBE | optimized geometry

a b c (Å): 6.3850 6.3850 6.3850
angles (deg): 143.14 143.14 53.12
Last column: nearest neighbours and their distance in Å.
Element x y z (fractional)
Pm: 0.0000 0.0000 0.0000  8 Ge 3.14, 4 Mn 3.50, 4 Al 3.50
Mn: 0.2500 0.7500 0.5000  4 Ge 2.55
Al: 0.7500 0.2500 0.5000  4 Ge 2.55
Ge: 0.3860 0.3860 0.0000  2 Al 2.55, 2 Mn 2.55, 1 Ge 2.60
Ge: 0.6140 0.6140 0.0000  2 Mn 2.55, 2 Al 2.55, 1 Ge 2.60

Summary:
energy of formation = -0.457 eV/atom
total magnetization = 2.85 μB/f.u.
density = 6.639 g/cm3
SG = No. 119